An optimized crystal structure of NbTe2Mo. Source: the Alexandria database, functional PBE.

E_form (uncorrected): 0.35 eV per atom
DOS at the Fermi energy: 3.3 states/eV/cell
final energy: -6.442 eV/atom
volume: 89.11 Å³ per cell
crystal system: trigonal

Lattice parameters (Å, degrees): 9.619 9.619 9.619 19.78 19.78 19.78
Atoms (fractional coordinates):
Nb (0.000, 0.000, 0.000)
Te (0.098, 0.098, 0.098)
Te (0.902, 0.902, 0.902)
Mo (0.500, 0.500, 0.500)